# 1
Density functional theory data (SCAN) for TiVCr2 at its PBEsol-relaxed geometry.

```
4
Lattice="4.1435 0.0000 0.0000 2.0718 3.5884 0.0000 2.0718 1.1961 3.3832" Properties=species:S:1:pos:R:3 pbc="T T T"
Cr 2.0718 1.1961 0.8458
Cr 6.2153 3.5884 2.5374
Ti 0.0000 0.0000 0.0000
V 4.1435 2.3923 1.6916
```

Formation energy, meV/atom: -29
SG: No. 225
E, eV/atom: -17.601



# 2
Density functional theory data (SCAN) for CrReN3 at its PBEsol-relaxed geometry.

```
5
Lattice="3.6204 0.0000 0.0000 0.0000 3.6204 0.0000 0.0000 0.0000 3.6204" Properties=species:S:1:pos:R:3 pbc="T T T"
Re 1.8102 1.8102 1.8102
N 0.0000 1.8102 0.0000
N 0.0000 0.0000 1.8102
N 1.8102 0.0000 0.0000
Cr 0.0000 0.0000 0.0000
```

Formation energy without anion corrections, meV/atom: 1259
SG: No. 221
E, eV/atom: -22.212



# 3
Density functional theory data (SCAN) for NaAu3Br at its PBEsol-relaxed geometry.

```
5
Lattice="-1.1049 -3.9591 -2.6921 4.4235 0.2128 -2.1284 1.8315 -2.9023 3.5164" Properties=species:S:1:pos:R:3 pbc="T T T"
Na 0.0000 0.0000 0.0000
Au 2.2118 0.1064 -1.0642
Au 0.9158 -1.4511 1.7582
Au -0.5524 -1.9795 -1.3461
Br 2.5751 -3.3243 -0.6521
```

Formation energy without anion corrections, meV/atom: 927
SG: No. 221
E, eV/atom: -45.302



# 4
Density functional theory data (SCAN) for NaLaBi3 at its PBEsol-relaxed geometry.

```
5
Lattice="-4.2512 -0.8698 -4.2842 3.5866 -4.1106 -2.7245 -2.4994 -4.4193 3.3773" Properties=species:S:1:pos:R:3 pbc="T T T"
Na -1.5820 -4.6998 -1.8157
Bi 1.7933 -2.0553 -1.3623
Bi -1.2497 -2.2097 1.6887
Bi -2.1256 -0.4349 -2.1421
La 0.0000 0.0000 0.0000
```

Formation energy, meV/atom: 128
SG: No. 221
E, eV/atom: -56.484



# 5
Density functional theory data (SCAN) for ReB2F at its PBEsol-relaxed geometry.

```
8
Lattice="4.7872 0.0610 0.0912 -2.0900 4.3073 -0.0912 -2.0900 -1.7264 3.9472" Properties=species:S:1:pos:R:3 pbc="T T T"
Re 0.0000 0.0000 0.0000
Re 0.3036 2.8294 0.9640
B 3.1179 2.3725 0.5276
B -1.4658 -0.3758 2.4556
B 0.9278 0.9355 1.6439
B -1.3656 2.3516 3.2673
F -2.0900 1.2905 1.9280
F 0.3036 -0.1874 2.9832
```

Formation energy without anion corrections, meV/atom: 678
SG: No. 122
E, eV/atom: -21.697



# 6
Density functional theory data (SCAN) for CuNi2Ru at its PBEsol-relaxed geometry.

```
4
Lattice="2.5018 0.0000 0.0000 0.0000 3.6132 0.0000 0.0000 0.0000 5.0418" Properties=species:S:1:pos:R:3 pbc="T T T"
Cu 1.2509 1.8066 3.8388
Ni 0.0000 0.0000 5.0338
Ni 1.2509 1.8066 1.2604
Ru 0.0000 0.0000 2.4715
```

Formation energy, meV/atom: 206
SG: No. 25
E, eV/atom: -20.387



no.,mass density (g/cm³)
1,6.694
2,9.806
3,9.712
4,5.777
5,9.153
6,10.275